A relaxed structure of PPdI3. Source: the Alexandria database, functional GGA-PBE.

Unit cell a=5.4657 b=5.4657 c=5.4657 alpha=90.00 beta=90.00 gamma=90.00
Sites, in units of the cell vectors:
I 0.0000 0.5000 0.0000
I 0.0000 0.0000 0.5000
P 0.0000 0.0000 0.0000
Pd 0.5000 0.5000 0.5000
I 0.5000 0.0000 0.0000

Calculated values
**Formation energy (no corrections)**: 0.615 eV per atom

***

A relaxed structure of Zr2VNi. Source: the Alexandria database, functional GGA-PBE.

Unit cell a=4.6252 b=4.6252 c=4.6252 alpha=60.00 beta=60.00 gamma=60.00
Last column: magnetic moment on the atom in μB.
Sites, in units of the cell vectors:
V 0.5000 0.5000 0.5000  1.53
Zr 0.7500 0.7500 0.7500  -0.03
Ni 0.0000 0.0000 0.0000  0.04
Zr 0.2500 0.2500 0.2500  -0.03

Calculated values
**Energy above the lowest structure with this stoichiometry**: 78 meV/atom
**Formation enthalpy at 0 K**: -40 meV/atom

***

A relaxed structure of Pm2Y2TmSc. Source: the Alexandria database, functional GGA-PBE.

Unit cell a=5.5551 b=7.0062 c=9.6367 alpha=90.00 beta=90.00 gamma=90.00
Sites, in units of the cell vectors:
Y 0.5000 0.5077 0.0001
Pm 0.0000 0.7578 0.1862
Y 0.5000 0.0077 0.9999
Y 0.0000 0.2578 0.1568
Pm 0.0000 0.2578 0.8138
Sc 0.5000 0.7574 0.3208
Sc 0.5000 0.2574 0.6792
Y 0.0000 0.7578 0.8432
Pm 0.5000 0.2574 0.3538
Tm 0.0000 0.5075 0.4999
Pm 0.5000 0.7574 0.6462
Tm 0.0000 0.0075 0.5001

Calculated values
**Formation enthalpy at 0 K**: 60 meV/atom

***

A relaxed structure of LaPuC. Source: the Alexandria database, functional GGA-PBE.

Unit cell a=6.6296 b=3.5347 c=3.5347 alpha=120.00 beta=90.00 gamma=90.00
Last column: magnetic moment on the atom in μB.
Sites, in units of the cell vectors:
Pu 0.1217 0.0000 0.0000  5.07
C 0.3169 0.3333 0.6667  -0.12
La 0.5614 0.6667 0.3333  0.07

Calculated values
**Energy above the lowest structure with this stoichiometry**: 11 meV/atom
**Formation enthalpy at 0 K**: 20 meV/atom

***

A relaxed structure of Fe3BW. Source: the Alexandria database, functional GGA-PBE.

Unit cell a=3.0620 b=7.2962 c=9.7350 alpha=90.00 beta=90.00 gamma=90.00
Last column: magnetic moment on the atom in μB.
Sites, in units of the cell vectors:
Fe 0.7500 0.6583 0.7155  1.82
W 0.7500 0.3332 0.5135  -0.12
Fe 0.2500 0.5526 0.0839  1.74
Fe 0.2500 0.4059 0.7231  1.90
Fe 0.2500 0.8417 0.2155  1.82
Fe 0.7500 0.5941 0.2769  1.90
W 0.2500 0.1668 0.0135  -0.12
Fe 0.2500 0.0526 0.4161  1.74
W 0.2500 0.6668 0.4865  -0.12
Fe 0.7500 0.1583 0.7845  1.82
Fe 0.2500 0.3417 0.2845  1.82
W 0.7500 0.8332 0.9865  -0.12
B 0.2500 0.1398 0.6294  -0.10
B 0.7500 0.8602 0.3706  -0.10
B 0.2500 0.6398 0.8706  -0.10
Fe 0.7500 0.4474 0.9161  1.74
Fe 0.7500 0.0941 0.2231  1.90
B 0.7500 0.3602 0.1294  -0.10
Fe 0.7500 0.9474 0.5839  1.74
Fe 0.2500 0.9059 0.7769  1.90

Calculated values
**Energy above the lowest structure with this stoichiometry**: 0 meV/atom
**Formation enthalpy at 0 K**: -128 meV/atom

***

A relaxed structure of LaY3Bi3. Source: the Alexandria database, functional GGA-PBE.

Unit cell a=9.3512 b=9.3512 c=8.2912 alpha=55.67 beta=55.67 gamma=60.00
Sites, in units of the cell vectors:
Y 0.8198 0.0839 0.7512
Bi 0.9177 0.2941 0.2534
La 0.3341 0.3341 0.9977
Bi 0.5348 0.9177 0.2534
Bi 0.7059 0.4652 0.7466
La 0.6659 0.6659 0.0023
Bi 0.2941 0.5348 0.2534
Bi 0.4652 0.0823 0.7466
Bi 0.0823 0.7059 0.7466
Y 0.9161 0.6549 0.2488
Y 0.3451 0.8198 0.7512
Y 0.6549 0.1802 0.2488
Y 0.0839 0.3451 0.7512
Y 0.1802 0.9161 0.2488

Calculated values
**Formation enthalpy at 0 K**: -705 meV/atom

***

A relaxed structure of TcHSe2. Source: the Alexandria database, functional GGA-PBE.

Unit cell a=7.6095 b=6.2688 c=6.2688 alpha=61.37 beta=115.40 gamma=64.60
Sites, in units of the cell vectors:
Se 0.7504 0.8576 0.9011
Se 0.2504 0.5989 0.6424
Se 0.2496 0.1424 0.0989
Tc 0.7500 0.8309 0.3309
H 0.7500 0.1651 0.6651
H 0.2500 0.8349 0.3349
Tc 0.2500 0.1691 0.6691
Se 0.7496 0.4011 0.3576

Calculated values
**Energy above the lowest structure with this stoichiometry**: 280 meV/atom

***

A relaxed structure of Rb. Source: the Alexandria database, functional GGA-PBE.

Unit cell a=15.4298 b=15.4298 c=15.4298 alpha=91.37 beta=91.37 gamma=162.24
Sites, in units of the cell vectors:
Rb 0.1061 0.2566 0.3627
Rb 0.1061 0.7434 0.8495
Rb 0.2566 0.1061 0.3627
Rb 0.2566 0.8939 0.1505
Rb 0.8939 0.7434 0.6373
Rb 0.7434 0.1061 0.8495
Rb 0.7434 0.8939 0.6373
Rb 0.8939 0.2566 0.1505

Calculated values
**Energy above the lowest structure with this stoichiometry**: 175 meV/atom
**Formation enthalpy at 0 K**: 175 meV/atom

***

A relaxed structure of TbPmHo2. Source: the Alexandria database, functional GGA-PBE.

Unit cell a=3.5835 b=3.5835 c=11.7258 alpha=81.21 beta=81.21 gamma=60.00
Sites, in units of the cell vectors:
Ho 0.0822 0.0822 0.7534
Pm 0.5004 0.5004 0.4987
Tb 0.6665 0.6665 0.0006
Ho 0.2509 0.2509 0.2473

Calculated values
**Energy above the lowest structure with this stoichiometry**: 0 meV/atom
**Formation enthalpy at 0 K**: 15 meV/atom

***

A relaxed structure of La2PrNi6. Source: the Alexandria database, functional GGA-PBE.

Unit cell a=4.0394 b=7.0371 c=7.0371 alpha=120.00 beta=90.00 gamma=90.00
Last column: magnetic moment on the atom in μB.
Sites, in units of the cell vectors:
Ni 0.5000 0.6670 0.6670  0.13
La 0.0000 0.3333 0.6667  -0.01
Pr 0.0000 0.0000 0.0000  0.00
Ni 0.5000 0.3330 0.3330  0.13
Ni 0.5000 0.6670 0.0000  0.13
Ni 0.5000 0.3330 0.0000  0.13
La 0.0000 0.6667 0.3333  -0.01
Ni 0.5000 0.0000 0.3330  0.13
Ni 0.5000 0.0000 0.6670  0.13

Calculated values
**Formation enthalpy at 0 K**: -314 meV/atom

***

A relaxed structure of AlNiSb2. Source: the Alexandria database, functional GGA-PBE.

Unit cell a=5.9851 b=5.9851 c=5.9851 alpha=141.70 beta=141.70 gamma=55.28
Sites, in units of the cell vectors:
Sb 0.0000 0.0000 0.0000
Al 0.5000 0.5000 0.0000
Sb 0.2500 0.7500 0.5000
Ni 0.7500 0.2500 0.5000

Calculated values
**Formation energy (no corrections)**: 0.282 eV per atom

***

A relaxed structure of TaCdCo3. Source: the Alexandria database, functional GGA-PBE.

Unit cell a=4.4942 b=4.4942 c=4.4942 alpha=90.00 beta=90.00 gamma=90.00
Sites, in units of the cell vectors:
Co 0.0000 0.0000 0.5000
Co 0.0000 0.5000 0.0000
Cd 0.5000 0.5000 0.5000
Ta 0.0000 0.0000 0.0000
Co 0.5000 0.0000 0.0000

Calculated values
**Energy above the lowest structure with this stoichiometry**: 0 meV/atom
**Formation enthalpy at 0 K**: 1199 meV/atom

***

| no. | final energy (eV/atom) |
| --- | --- |
| 1 | -2.436 |
| 2 | -8.039 |
| 3 | -5.478 |
| 4 | -9.474 |
| 5 | -9.132 |
| 6 | -5.842 |
| 7 | -5.072 |
| 8 | -0.793 |
| 9 | -4.619 |
| 10 | -5.794 |
| 11 | -4.160 |
| 12 | -5.619 |